1.
Entry from Alexandria via LeMat-Bulk: NaDyS2 after structural relaxation (GGA-PBEsol).

The structure in CIF format:
```
data_NaDyS2
_cell_length_a 3.9302
_cell_length_b 3.9302
_cell_length_c 19.7717
_cell_angle_alpha 90.00
_cell_angle_beta 90.00
_cell_angle_gamma 120.00
_space_group_name_H-M_alt 'R -3 m'
_space_group_IT_number 166
_space_group_name_Hall '-R 3 2"'
loop_
_atom_site_label
_atom_site_fract_x
_atom_site_fract_y
_atom_site_fract_z
Na1 0.0000 0.0000 0.0000
Dy1 0.0000 0.0000 0.5000
S1 0.0000 0.0000 0.2425
```

Output
The raw total energy comes out at -5.657 eV/atom. The density of states at the Fermi level comes out at 0.0 states/eV/cell. For the total moment, the calculation gives 0.00 μB/f.u. The raw formation energy comes out at -722 kJ/mol of formula units.

=====

2.
Entry from Alexandria via LeMat-Bulk: PdRh2W2 after structural relaxation (GGA-PBEsol).

The structure in CIF format:
```
data_PdRh2W2
_cell_length_a 3.8467
_cell_length_b 3.8467
_cell_length_c 11.2375
_cell_angle_alpha 90.00
_cell_angle_beta 90.00
_cell_angle_gamma 90.00
_space_group_name_H-M_alt 'I 4/m m m'
_space_group_IT_number 139
_space_group_name_Hall '-I 4 2'
loop_
_atom_site_label
_atom_site_fract_x
_atom_site_fract_y
_atom_site_fract_z
Pd1 0.0000 0.0000 0.0000
Rh1 0.0000 0.0000 0.3952
W1 0.0000 0.5000 0.2500
```

Output
The formation energy comes out at 473.3 meV/atom. The raw total energy comes out at -9.497 eV/atom. The density of states at the Fermi level comes out at 8.6 states/eV/cell. For the total moment, the calculation gives 0.00 μB/f.u.

=====

3.
Entry from Alexandria via LeMat-Bulk: ScIn3W after structural relaxation (GGA-PBEsol).

The structure in CIF format:
```
data_ScIn3W
_cell_length_a 5.2456
_cell_length_b 5.2456
_cell_length_c 5.2456
_cell_angle_alpha 90.00
_cell_angle_beta 90.00
_cell_angle_gamma 90.00
_space_group_name_H-M_alt 'P m -3 m'
_space_group_IT_number 221
_space_group_name_Hall '-P 4 2 3'
loop_
_atom_site_label
_atom_site_fract_x
_atom_site_fract_y
_atom_site_fract_z
Sc1 0.0000 0.0000 0.0000
In1 0.0000 0.0000 0.5000
W1 0.5000 0.5000 0.5000
```

Output
The formation energy comes out at 1721.0 meV/atom. The raw total energy comes out at -4.151 eV/atom. The density of states at the Fermi level comes out at 6.0 states/eV/cell. For the total moment, the calculation gives 3.09 μB/f.u.

=====

4.
Entry from Alexandria via LeMat-Bulk: Rh2C after structural relaxation (GGA-PBEsol).

The structure in CIF format:
```
data_Rh2C
_cell_length_a 3.6338
_cell_length_b 3.6338
_cell_length_c 2.6021
_cell_angle_alpha 90.00
_cell_angle_beta 90.00
_cell_angle_gamma 90.00
_space_group_name_H-M_alt 'P 4/m m m'
_space_group_IT_number 123
_space_group_name_Hall '-P 4 2'
loop_
_atom_site_label
_atom_site_fract_x
_atom_site_fract_y
_atom_site_fract_z
Rh1 0.0000 0.5000 0.0000
C1 0.0000 0.0000 0.5000
```

Output
The formation energy comes out at 705.0 meV/atom. The raw total energy comes out at -7.935 eV/atom. The density of states at the Fermi level comes out at 2.8 states/eV/cell. For the total moment, the calculation gives 0.00 μB/f.u. The value obtained for the energy above the lowest structure with this stoichiometry is 57.3 kJ per mole of atoms.

=====

5.
Entry from Alexandria via LeMat-Bulk: CoNiRh2 after structural relaxation (GGA-PBEsol).

The structure in CIF format:
```
data_CoNiRh2
_cell_length_a 5.1563
_cell_length_b 8.5424
_cell_length_c 2.5680
_cell_angle_alpha 90.00
_cell_angle_beta 118.21
_cell_angle_gamma 90.00
_space_group_name_H-M_alt 'C 1 2/m 1'
_space_group_IT_number 12
loop_
_space_group_symop_operation_xyz
'x,y,z'
'-x,-y,-z'
'-x,y,-z'
'x,-y,z'
'x+1/2,y+1/2,z'
'-x+1/2,-y+1/2,-z'
'-x+1/2,y+1/2,-z'
'x+1/2,-y+1/2,z'
loop_
_atom_site_label
_atom_site_fract_x
_atom_site_fract_y
_atom_site_fract_z
Co1 0.0000 0.0000 0.0000
Ni1 0.0000 0.5000 0.0000
Rh1 0.2500 0.2500 0.5000
```

Output
The formation energy comes out at 248.1 meV/atom. The raw total energy comes out at -7.295 eV/atom. The density of states at the Fermi level comes out at 13.0 states/eV/cell. For the total moment, the calculation gives 3.23 μB/f.u. The value obtained for the energy above the lowest structure with this stoichiometry is 18.2 kJ per mole of atoms.

=====

6.
Entry from Alexandria via LeMat-Bulk: Mn3Fe3Ge2 after structural relaxation (GGA-PBEsol).

The structure in CIF format:
```
data_Mn3Fe3Ge2
_cell_length_a 5.0694
_cell_length_b 5.0694
_cell_length_c 4.0752
_cell_angle_alpha 90.00
_cell_angle_beta 90.00
_cell_angle_gamma 120.00
_space_group_name_H-M_alt 'P -6 m 2'
_space_group_IT_number 187
_space_group_name_Hall 'P -6 2'
loop_
_atom_site_label
_atom_site_fract_x
_atom_site_fract_y
_atom_site_fract_z
Mn1 0.0136 0.5068 0.0000
Fe1 0.1716 0.3432 0.5000
Ge1 0.0000 0.0000 0.0000
Ge2 0.6667 0.3333 0.5000
```

Output
The formation energy comes out at -64.7 meV/atom. The raw total energy comes out at -8.321 eV/atom. The density of states at the Fermi level comes out at 6.8 states/eV/cell. For the total moment, the calculation gives 9.84 μB/f.u.

=====

7.
Entry from Alexandria via LeMat-Bulk: Ba2LiSi after structural relaxation (GGA-PBEsol).

The structure in CIF format:
```
data_Ba2LiSi
_cell_length_a 4.6574
_cell_length_b 4.6574
_cell_length_c 25.4778
_cell_angle_alpha 90.00
_cell_angle_beta 90.00
_cell_angle_gamma 120.00
_space_group_name_H-M_alt 'R 3 m'
_space_group_IT_number 160
_space_group_name_Hall 'R 3 -2"'
loop_
_atom_site_label
_atom_site_fract_x
_atom_site_fract_y
_atom_site_fract_z
Ba1 0.0000 0.0000 0.0000
Ba2 0.0000 0.0000 0.1595
Li1 0.0000 0.0000 0.4131
Si1 0.0000 0.0000 0.7469
```

Output
The raw total energy comes out at -3.244 eV/atom. The density of states at the Fermi level comes out at 8.8 states/eV/cell. For the total moment, the calculation gives 0.00 μB/f.u. The raw formation energy comes out at -93 kJ/mol of formula units.

=====

8.
Entry from Alexandria via LeMat-Bulk: FeRu2Pt after structural relaxation (GGA-PBEsol).

The structure in CIF format:
```
data_FeRu2Pt
_cell_length_a 5.1830
_cell_length_b 9.0592
_cell_length_c 2.6300
_cell_angle_alpha 90.00
_cell_angle_beta 117.76
_cell_angle_gamma 90.00
_space_group_name_H-M_alt 'C 1 2/m 1'
_space_group_IT_number 12
loop_
_space_group_symop_operation_xyz
'x,y,z'
'-x,-y,-z'
'-x,y,-z'
'x,-y,z'
'x+1/2,y+1/2,z'
'-x+1/2,-y+1/2,-z'
'-x+1/2,y+1/2,-z'
'x+1/2,-y+1/2,z'
loop_
_atom_site_label
_atom_site_fract_x
_atom_site_fract_y
_atom_site_fract_z
Fe1 0.0000 0.0000 0.0000
Ru1 0.2500 0.2500 0.5000
Pt1 0.0000 0.5000 0.0000
```

Output
The formation energy comes out at 332.3 meV/atom. The raw total energy comes out at -8.736 eV/atom. The density of states at the Fermi level comes out at 11.9 states/eV/cell. For the total moment, the calculation gives 3.61 μB/f.u.

=====

9.
Entry from Alexandria via LeMat-Bulk: ZrW after structural relaxation (GGA-PBEsol).

The structure in CIF format:
```
data_ZrW
_cell_length_a 2.8350
_cell_length_b 2.8350
_cell_length_c 5.2551
_cell_angle_alpha 90.00
_cell_angle_beta 90.00
_cell_angle_gamma 120.00
_space_group_name_H-M_alt 'P -6 m 2'
_space_group_IT_number 187
_space_group_name_Hall 'P -6 2'
loop_
_atom_site_label
_atom_site_fract_x
_atom_site_fract_y
_atom_site_fract_z
Zr1 0.0000 0.0000 0.0000
W1 0.3333 0.6667 0.5000
```

Output
The formation energy comes out at 475.5 meV/atom. The raw total energy comes out at -10.973 eV/atom. The density of states at the Fermi level comes out at 2.5 states/eV/cell. For the total moment, the calculation gives 0.00 μB/f.u.

=====

10.
Entry from Alexandria via LeMat-Bulk: AlCu2Ru after structural relaxation (GGA-PBEsol).

The structure in CIF format:
```
data_AlCu2Ru
_cell_length_a 2.9898
_cell_length_b 2.9898
_cell_length_c 5.5477
_cell_angle_alpha 90.00
_cell_angle_beta 90.00
_cell_angle_gamma 90.00
_space_group_name_H-M_alt 'P 4 m m'
_space_group_IT_number 99
loop_
_space_group_symop_operation_xyz
'x,y,z'
'-y,x,z'
'-x,-y,z'
'y,-x,z'
'-x,y,z'
'y,x,z'
'x,-y,z'
'-y,-x,z'
loop_
_atom_site_label
_atom_site_fract_x
_atom_site_fract_y
_atom_site_fract_z
Al1 0.0000 0.0000 0.0000
Cu1 0.0000 0.0000 0.4867
Cu2 0.5000 0.5000 0.2597
Ru1 0.5000 0.5000 0.7535
```

Output
The formation energy comes out at -141.5 meV/atom. The raw total energy comes out at -5.875 eV/atom. The density of states at the Fermi level comes out at 2.3 states/eV/cell. For the total moment, the calculation gives 0.00 μB/f.u.

=====

11.
Entry from Alexandria via LeMat-Bulk: ScW2Se after structural relaxation (GGA-PBEsol).

The structure in CIF format:
```
data_ScW2Se
_cell_length_a 3.3736
_cell_length_b 4.7056
_cell_length_c 8.5404
_cell_angle_alpha 90.00
_cell_angle_beta 90.00
_cell_angle_gamma 90.00
_space_group_name_H-M_alt 'C m m m'
_space_group_IT_number 65
_space_group_name_Hall '-C 2 2'
loop_
_atom_site_label
_atom_site_fract_x
_atom_site_fract_y
_atom_site_fract_z
Sc1 0.0000 0.0000 0.0000
W1 0.0000 0.5000 0.2705
Se1 0.0000 0.0000 0.5000
```

Output
The raw total energy comes out at -9.019 eV/atom. The density of states at the Fermi level comes out at 6.3 states/eV/cell. For the total moment, the calculation gives 0.00 μB/f.u. The raw formation energy comes out at 193 kJ/mol of formula units.

=====

12.
Entry from Alexandria via LeMat-Bulk: RbReNO2 after structural relaxation (GGA-PBEsol).

The structure in CIF format:
```
data_RbReNO2
_cell_length_a 3.9636
_cell_length_b 3.9636
_cell_length_c 3.8951
_cell_angle_alpha 90.00
_cell_angle_beta 90.00
_cell_angle_gamma 90.00
_space_group_name_H-M_alt 'P 4/m m m'
_space_group_IT_number 123
_space_group_name_Hall '-P 4 2'
loop_
_atom_site_label
_atom_site_fract_x
_atom_site_fract_y
_atom_site_fract_z
Rb1 0.0000 0.0000 0.0000
Re1 0.5000 0.5000 0.5000
N1 0.5000 0.5000 0.0000
O1 0.0000 0.5000 0.5000
```

Output
The raw total energy comes out at -7.754 eV/atom. The density of states at the Fermi level comes out at 0.9 states/eV/cell. For the total moment, the calculation gives 0.00 μB/f.u. The raw formation energy comes out at -520 kJ/mol of formula units.